Cr2CdH14N4O8: optimized geometry, PBE with a Hubbard U.

Results
uncorrected energy	-5.473	eV per atom
space-group type	P-1 (2)
density of states at the Fermi level	0.000	states/eV per atom

Cell and atoms, written as POSCAR:
```
Cr2CdH14N4O8
1.0
6.2761 -0.1031 0.0964
-3.1364 6.4102 -0.1051
-0.2908 -2.9360 7.2584
H N Cr O Cd
14 4 2 8 1
Cartesian
3.2179 3.6534 4.5119
2.9044 0.0521 4.2819
0.8613 2.9177 1.5616
3.6398 0.4312 5.7843
1.6676 4.0026 4.9418
1.9877 0.4534 5.6880
3.1524 4.4940 2.1604
2.7946 -1.0484 5.5532
1.1814 -0.6315 2.3078
-0.7908 2.9399 1.4653
0.0544 4.4195 1.6964
-0.3690 -0.2823 2.7377
-0.3035 -1.1229 5.0892
-0.0554 3.3190 2.9677
2.8295 -0.0403 5.3228
0.0195 3.4114 1.9268
2.6537 4.1767 5.1912
0.1953 -0.8057 2.0584
-0.2932 1.9956 5.5821
3.1421 1.3755 1.6675
-0.2913 0.7530 4.4985
4.5584 1.4674 0.7698
-0.1985 3.4568 4.7676
3.1402 2.6181 2.7511
1.0500 1.8222 6.5717
3.0475 -0.0857 2.4821
-1.7094 1.9037 6.4798
1.7990 1.5489 0.6779
0.0000 0.0000 0.0000
```